The following is a DFT calculation (PBE) of a relaxed MgHgRh2 crystal.

a = 4.1925 Å, b = 2.9048 Å, c = 5.6603 Å
α = 72.58°, β = 90.00°, γ = 90.00°
Positions (direct):
Hg  0.5000  0.2500  0.2500
Rh  0.0000  0.5887  0.5175
Rh  0.0000  0.9113  0.9825
Mg  0.5000  0.7500  0.7500

Properties
Magnetization (Bohr magnetons per cell): 0.0
Formation energy from the elements (eV per atom): -0.0667

The following is a DFT calculation (PBE) of a relaxed Mg8HgRh2 crystal.

a = 4.3859 Å, b = 7.4266 Å, c = 7.7920 Å
α = 118.46°, β = 106.35°, γ = 90.00°
Positions (direct):
Mg  0.1521  0.1521  0.3042
Mg  0.3373  0.5486  0.6747
Mg  0.3373  0.1261  0.6747
Mg  0.0000  0.3160  0.0000
Mg  0.6627  0.4514  0.3253
Mg  0.6627  0.8739  0.3253
Mg  0.0000  0.6840  0.0000
Mg  0.8479  0.8479  0.6958
Hg  0.5000  0.0000  0.0000
Rh  0.1948  0.6948  0.3895
Rh  0.8052  0.3052  0.6105

Properties
Relative energy among the computed polymorphs (kJ/mol of formula units): 0.0
Magnetization (Bohr magnetons per cell): 0.0
Formation energy from the elements (eV per atom): -0.2930

Question: magnetization of number 2 (Mg8HgRh2)?
Answer: 0.0 Bohr magnetons per cell